[1]
The following is a PBE-GGA calculation of an optimized crystal structure of LuZrFeBi, from OQMD.

Unit cell a=7.0082 b=7.0082 c=7.0082 alpha=90.00 beta=90.00 gamma=90.00
With the nearest neighbours (Å) after each atom.
Space group F-43m (No. 216)
One atom of each set of equivalent atoms:
1 Lu 0.0000 0.0000 0.0000  4 Zr 3.03, 4 Bi 3.03
2 Zr 0.2500 0.2500 0.7500  4 Fe 3.03, 4 Lu 3.03
3 Fe 0.0000 0.0000 0.5000  4 Zr 3.03, 4 Bi 3.03
4 Bi 0.2500 0.2500 0.2500  4 Fe 3.03, 4 Lu 3.03

Magnetization ... 4.22 μB/cell
Crystal system ... cubic
Distance to the lowest polymorph of the same formula ... 0.000 eV/atom

***

[2]
The following is a PBE-GGA calculation of an optimized crystal structure of Rb4Na2Gd, from OQMD.

Unit cell a=14.8360 b=8.1217 c=7.0010 alpha=90.00 beta=112.25 gamma=90.00
With the nearest neighbours (Å) after each atom.
Space group C2/m (No. 12)
One atom of each set of equivalent atoms:
1 Rb 0.1515 0.2464 0.1706  3 Na 3.94-4.18, 3 Rb 4.00-4.22, 1 Gd 4.31
2 Na 0.1043 0.0000 0.6480  1 Na 3.00
3 Gd 0.0000 0.5000 0.5000  4 Rb 4.31, 4 Na 4.33

Magnetization ... 2.39 μB/cell
Total DFT energy (no corrections) ... -1.191 eV per atom
Crystal system ... monoclinic

***

[3]
The following is a PBE-GGA calculation of an optimized crystal structure of Rb2GaFeBr6, from OQMD.

Unit cell a=10.7946 b=10.7946 c=10.7946 alpha=90.00 beta=90.00 gamma=90.00
With the nearest neighbours (Å) after each atom.
Space group Fm-3m (No. 225)
One atom of each set of equivalent atoms:
1 Rb 0.2500 0.2500 0.2500  12 Br 3.82
2 Ga 0.0000 0.0000 0.0000  6 Br 2.80
3 Fe 0.0000 0.0000 0.5000  6 Br 2.59
4 Br 0.0000 0.0000 0.2597  1 Fe 2.59, 1 Ga 2.80

Magnetization ... 15.34 μB/cell
Total DFT energy (no corrections) ... -3.340 eV per atom
Crystal system ... cubic

***

[4]
The following is a PBE-GGA calculation of an optimized crystal structure of NaZnCoMo, from OQMD.

Unit cell a=6.1607 b=6.1607 c=6.1607 alpha=90.00 beta=90.00 gamma=90.00
With the nearest neighbours (Å) after each atom.
Space group F-43m (No. 216)
One atom of each set of equivalent atoms:
1 Na 0.0000 0.0000 0.0000  4 Co 2.67, 4 Zn 2.67
2 Zn 0.2500 0.2500 0.2500  4 Na 2.67, 4 Mo 2.67
3 Co 0.2500 0.2500 0.7500  4 Mo 2.67, 4 Na 2.67
4 Mo 0.0000 0.0000 0.5000  4 Zn 2.67, 4 Co 2.67

Magnetization ... 0.04 μB/cell
Crystal system ... cubic
Distance to the lowest polymorph of the same formula ... 0.041 eV/atom

***

[5]
The following is a PBE-GGA calculation of an optimized crystal structure of KHoTlTe3, from OQMD.

Unit cell a=4.5665 b=16.2587 c=12.1500 alpha=90.00 beta=90.00 gamma=90.00
With the nearest neighbours (Å) after each atom.
Space group Cmcm (No. 63)
One atom of each set of equivalent atoms:
1 K 0.0000 0.2470 0.2500  8 Te 3.73-4.10, 2 Tl 3.93
2 Ho 0.0000 0.5000 0.0000  6 Te 3.13-3.22
3 Tl 0.0000 0.0565 0.7500  4 Te 3.02-3.03
4 Te 0.0000 0.1310 0.5226  1 Tl 3.02, 2 Ho 3.13
5 Te 0.0000 0.4341 0.7500  2 Tl 3.03, 2 Ho 3.22

Magnetization ... 0.03 μB/cell
Crystal system ... orthorhombic
Distance to the lowest polymorph of the same formula ... 0.089 eV/atom

***

[6]
The following is a PBE-GGA calculation of an optimized crystal structure of HoTlZnS3, from OQMD.

Unit cell a=16.3499 b=4.0360 c=8.8521 alpha=90.00 beta=104.05 gamma=90.00
With the nearest neighbours (Å) after each atom.
Space group C2/m (No. 12)
One atom of each set of equivalent atoms:
1 Ho 0.1693 0.0000 0.0900  6 S 2.69-2.77
2 Tl 0.1421 0.0000 0.5634  7 S 3.03-3.35
3 Zn 0.0020 0.5000 0.2183  3 S 2.39-2.56
4 S 0.0000 0.0000 0.0000  2 Ho 2.69, 4 Zn 2.79
5 S 0.0000 0.5000 0.5000  2 Zn 2.50
6 S 0.1525 0.5000 0.2812  1 Zn 2.39
7 S 0.1590 0.5000 0.8716  1 Zn 2.56, 3 Ho 2.74-2.77

Magnetization ... 0.01 μB/cell
Crystal system ... monoclinic
Distance to the lowest polymorph of the same formula ... 0.145 eV/atom

***

[7]
The following is a PBE-GGA calculation of an optimized crystal structure of Rb2CuBiCl6, from OQMD.

Unit cell a=7.3885 b=7.3885 c=18.1144 alpha=90.00 beta=90.00 gamma=120.00
With the nearest neighbours (Å) after each atom.
Space group R-3 (No. 148, hexagonal axes)
One atom of each set of equivalent atoms:
1 Rb 0.0000 0.0000 0.2500  12 Cl 3.69-3.71
2 Cu 0.0000 0.0000 0.0000  6 Cl 2.50
3 Bi 0.0000 0.0000 0.5000  6 Cl 2.73
4 Cl 0.0146 0.5059 0.7462  1 Cu 2.50, 1 Bi 2.73

Crystal system ... trigonal
Distance to the lowest polymorph of the same formula ... 0.003 eV/atom

***

[8]
The following is a PBE-GGA calculation of an optimized crystal structure of MgOsPb2Se6, from OQMD.

Unit cell a=6.6001 b=6.6001 c=11.3228 alpha=90.00 beta=90.00 gamma=90.00
With the nearest neighbours (Å) after each atom.
Space group I4/m (No. 87)
One atom of each set of equivalent atoms:
1 Mg 0.0000 0.0000 0.0000  4 Se 2.57
2 Os 0.0000 0.0000 0.5000  6 Se 2.47-2.56
3 Pb 0.0000 0.5000 0.2500  8 Se 3.15-3.31
4 Se 0.0000 0.0000 0.2743  1 Os 2.56
5 Se 0.1422 0.6535 0.5000  1 Os 2.47, 1 Mg 2.57, 1 Se 2.76

Magnetization ... 0.05 μB/cell
Total DFT energy (no corrections) ... -4.362 eV per atom
Crystal system ... tetragonal

***

[9]
The following is a PBE-GGA calculation of an optimized crystal structure of GaCoIrW, from OQMD.

Unit cell a=6.0948 b=6.0948 c=6.0948 alpha=90.00 beta=90.00 gamma=90.00
With the nearest neighbours (Å) after each atom.
Space group F-43m (No. 216)
One atom of each set of equivalent atoms:
1 Ga 0.0000 0.0000 0.0000  4 W 2.64, 4 Co 2.64
2 Co 0.2500 0.2500 0.2500  4 Ir 2.64, 4 Ga 2.64
3 Ir 0.0000 0.0000 0.5000  4 W 2.64, 4 Co 2.64
4 W 0.2500 0.2500 0.7500  4 Ir 2.64, 4 Ga 2.64

Magnetization ... 4.39 μB/cell
Crystal system ... cubic
Distance to the lowest polymorph of the same formula ... 0.112 eV/atom

***

[10]
The following is a PBE-GGA calculation of an optimized crystal structure of PuMg2Hg3, from OQMD.

Unit cell a=3.4752 b=3.4752 c=11.4129 alpha=90.00 beta=90.00 gamma=90.00
With the nearest neighbours (Å) after each atom.
Space group P4/mmm (No. 123)
One atom of each set of equivalent atoms:
1 Pu 0.0000 0.0000 0.0000  8 Hg 3.28, 4 Pu 3.48
2 Mg 0.0000 0.0000 0.3456  8 Hg 3.02-3.03
3 Hg 0.5000 0.5000 0.1909  4 Mg 3.03, 4 Pu 3.28
4 Hg 0.5000 0.5000 0.5000  8 Mg 3.02

Magnetization ... 5.87 μB/cell
Total DFT energy (no corrections) ... -3.267 eV per atom
Crystal system ... tetragonal

***

[11]
The following is a PBE-GGA calculation of an optimized crystal structure of BaPd2PbO6, from OQMD.

Unit cell a=7.8509 b=8.3486 c=7.9084 alpha=90.00 beta=90.00 gamma=90.00
With the nearest neighbours (Å) after each atom.
Space group Cmmm (No. 65)
One atom of each set of equivalent atoms:
1 Ba 0.0000 0.2486 0.0000  4 O 2.59-2.62
2 Pd 0.2500 0.0000 0.2573  6 O 2.02-2.10
3 Pb 0.0000 0.2471 0.5000  8 O 2.46-2.60
4 O 0.0000 0.0000 0.1969  2 Pd 2.02
5 O 0.0000 0.5000 0.3281  2 Pd 2.04
6 O 0.1710 0.0000 0.5000  2 Pd 2.02
7 O 0.1999 0.5000 0.0000  2 Pd 2.07
8 O 0.2500 0.2500 0.2850  2 Pd 2.10

Crystal system ... orthorhombic
Distance to the lowest polymorph of the same formula ... 0.011 eV/atom

***

[12]
The following is a PBE-GGA calculation of an optimized crystal structure of ThNi, from OQMD.

Unit cell a=6.0967 b=6.0967 c=6.0967 alpha=90.00 beta=90.00 gamma=90.00
With the nearest neighbours (Å) after each atom.
Space group F-43m (No. 216)
One atom of each set of equivalent atoms:
1 Th 0.0000 0.0000 0.0000  4 Ni 2.64
2 Ni 0.2500 0.2500 0.2500  4 Th 2.64

Magnetization ... 0.00 μB/cell
Total DFT energy (no corrections) ... -6.161 eV per atom
Crystal system ... cubic

***

[13]
The following is a PBE-GGA calculation of an optimized crystal structure of NdReSb, from OQMD.

Unit cell a=6.7832 b=6.7832 c=6.7832 alpha=90.00 beta=90.00 gamma=90.00
With the nearest neighbours (Å) after each atom.
Space group F-43m (No. 216)
One atom of each set of equivalent atoms:
1 Nd 0.0000 0.0000 0.0000  4 Sb 2.94
2 Re 0.0000 0.0000 0.5000  4 Sb 2.94
3 Sb 0.2500 0.2500 0.2500  4 Re 2.94, 4 Nd 2.94

Magnetization ... 5.59 μB/cell
Crystal system ... cubic
Distance to the lowest polymorph of the same formula ... 0.000 eV/atom

***

[14]
The following is a PBE-GGA calculation of an optimized crystal structure of In2IrF6, from OQMD.

Unit cell a=5.7394 b=5.7394 c=4.2466 alpha=90.00 beta=90.00 gamma=120.00
With the nearest neighbours (Å) after each atom.
Space group P-3m1 (No. 164)
One atom of each set of equivalent atoms:
1 In 0.3333 0.6667 0.2850  12 F 2.58-2.88
2 Ir 0.0000 0.0000 0.0000  6 F 2.00
3 F 0.1750 0.3499 0.7661  1 Ir 2.00

Magnetization ... 0.00 μB/cell
Total DFT energy (no corrections) ... -4.382 eV per atom
Crystal system ... trigonal

***

[15]
The following is a PBE-GGA calculation of an optimized crystal structure of ThZr, from OQMD.

Unit cell a=5.6037 b=3.3443 c=5.8847 alpha=90.00 beta=90.00 gamma=90.00
With the nearest neighbours (Å) after each atom.
Space group Pmma (No. 51)
One atom of each set of equivalent atoms:
1 Th 0.2500 0.0000 0.1458  4 Th 3.29-3.34, 8 Zr 3.31-3.52
2 Zr 0.2500 0.5000 0.6310  4 Zr 3.20-3.34, 8 Th 3.31-3.52

Magnetization ... 0.01 μB/cell
Total DFT energy (no corrections) ... -7.889 eV per atom
Crystal system ... orthorhombic

***

[16]
The following is a PBE-GGA calculation of an optimized crystal structure of ErNbPb, from OQMD.

Unit cell a=7.0916 b=7.0916 c=7.0916 alpha=90.00 beta=90.00 gamma=90.00
With the nearest neighbours (Å) after each atom.
Space group F-43m (No. 216)
One atom of each set of equivalent atoms:
1 Er 0.0000 0.0000 0.0000  4 Nb 3.07, 4 Pb 3.07
2 Nb 0.2500 0.2500 0.7500  4 Er 3.07
3 Pb 0.2500 0.2500 0.2500  4 Er 3.07

Magnetization ... 14.65 μB/cell
Crystal system ... cubic
Distance to the lowest polymorph of the same formula ... 0.408 eV/atom

***

[17]
The following is a PBE-GGA calculation of an optimized crystal structure of NbCuHgPt, from OQMD.

Unit cell a=6.4259 b=6.4259 c=6.4259 alpha=90.00 beta=90.00 gamma=90.00
With the nearest neighbours (Å) after each atom.
Space group F-43m (No. 216)
One atom of each set of equivalent atoms:
1 Nb 0.0000 0.0000 0.0000  4 Cu 2.78, 4 Pt 2.78
2 Cu 0.2500 0.2500 0.2500  4 Hg 2.78, 4 Nb 2.78
3 Hg 0.0000 0.0000 0.5000  4 Cu 2.78, 4 Pt 2.78
4 Pt 0.2500 0.2500 0.7500  4 Hg 2.78, 4 Nb 2.78

Magnetization ... 0.02 μB/cell
Crystal system ... cubic
Distance to the lowest polymorph of the same formula ... 0.000 eV/atom